1.
Below is an optimized crystal structure of PmThCuRh, with properties calculated at the PBE-GGA level.

abc: 5.0374 5.0374 5.0374
angles: 60.00 60.00 60.00
Closest atoms and distances in Å follow each position.
Element x y z (fractional)
1 Rh 0.7500 0.7500 0.7500  4 Th 3.08, 4 Pm 3.08
2 Cu 0.2500 0.2500 0.2500  4 Th 3.08, 4 Pm 3.08
3 Th 0.5000 0.5000 0.5000  4 Rh 3.08, 4 Cu 3.08
4 Pm 0.0000 0.0000 0.0000  4 Cu 3.08, 4 Rh 3.08

Values from the calculation:
Relative energy among the computed polymorphs = 137 meV per atom
D(E_F) = 0.8695 states/eV per atom
VASP energy = -25.29 eV/f.u.
Energy of formation = -1.674 eV/f.u.

=====

2.
Below is an optimized crystal structure of PmTmCuRh, with properties calculated at the PBE-GGA level.

abc: 3.8002 4.3965 5.5607
angles: 90.00 109.98 90.00
Closest atoms and distances in Å follow each position.
Element x y z (fractional)
1 Pm 0.1433 0.0000 0.2866  3 Rh 2.87-3.03, 4 Cu 3.00
2 Tm 0.8651 0.5000 0.7303  3 Cu 2.89-3.05, 4 Rh 2.96
3 Cu 0.5735 0.5000 0.1470  2 Rh 2.73, 3 Tm 2.89-3.05, 4 Pm 3.00
4 Rh 0.4181 0.0000 0.8361  2 Cu 2.73, 3 Pm 2.87-3.03, 4 Tm 2.96

Values from the calculation:
Relative energy among the computed polymorphs = 0 meV per atom
D(E_F) = 0.7400 states/eV per atom
VASP energy = -22.86 eV/f.u.
Energy of formation = -2.189 eV/f.u.

=====

Please write out number 2 again, unchanged.
Below is an optimized crystal structure of PmTmCuRh, with properties calculated at the PBE-GGA level.

abc: 3.8002 4.3965 5.5607
angles: 90.00 109.98 90.00
Closest atoms and distances in Å follow each position.
Element x y z (fractional)
1 Pm 0.1433 0.0000 0.2866  3 Rh 2.87-3.03, 4 Cu 3.00
2 Tm 0.8651 0.5000 0.7303  3 Cu 2.89-3.05, 4 Rh 2.96
3 Cu 0.5735 0.5000 0.1470  2 Rh 2.73, 3 Tm 2.89-3.05, 4 Pm 3.00
4 Rh 0.4181 0.0000 0.8361  2 Cu 2.73, 3 Pm 2.87-3.03, 4 Tm 2.96

Values from the calculation:
Relative energy among the computed polymorphs = 0 meV per atom
D(E_F) = 0.7400 states/eV per atom
VASP energy = -22.86 eV/f.u.
Energy of formation = -2.189 eV/f.u.

=====

Question: Which formula does entry 1 have?
Answer: PmThCuRh

=====

Question: Which of these has the lowest energy of formation?
Answer: PmTmCuRh